CsZnIn2Pd: relaxed, PBE-GGA.

total DFT energy (no corrections) = -2.687 eV/atom
total magnetization = 0.00 μB per atom
SG = P4/mmm, No. 123

Lattice parameters (Å, degrees): 5.3301 5.3301 5.1953 90.00 90.00 90.00
Fractional positions:
Pd  0.0000  0.0000  0.0000
Zn  0.0000  0.0000  0.5000
In  0.5000  0.0000  0.0000
Cs  0.5000  0.5000  0.5000
In  0.0000  0.5000  0.0000

---

BaBe2AuO: relaxed, PBE-GGA.

ΔE_f (raw) = -93 meV/atom
total DFT energy (no corrections) = -3.615 eV/atom
total magnetization = 0.00 μB per atom
SG = P4/mmm, No. 123

Lattice parameters (Å, degrees): 4.1248 5.2992 4.1248 90.00 90.00 90.00
Fractional positions:
Be  0.5000  0.0000  0.0000
O  0.0000  0.0000  0.0000
Ba  0.0000  0.5000  0.0000
Be  0.0000  0.0000  0.5000
Au  0.5000  0.5000  0.5000

---

Tl2Pb3Au3: relaxed, PBE-GGA.

total DFT energy (no corrections) = -3.142 eV/atom
total magnetization = 0.00 μB per atom
SG = P-62m, No. 189

Lattice parameters (Å, degrees): 3.5110 8.3042 8.3042 120.00 90.00 90.00
Fractional positions:
Tl  0.0000  0.3333  0.6667
Pb  0.0000  0.7654  0.0000
Pb  0.0000  0.2346  0.2346
Pb  0.0000  0.0000  0.7654
Au  0.5000  0.3640  0.0000
Tl  0.0000  0.6667  0.3333
Au  0.5000  0.6360  0.6360
Au  0.5000  0.0000  0.3640

---

Ti2PbS: relaxed, PBE-GGA.

ΔE_f (raw) = -105 meV/atom
total DFT energy (no corrections) = -6.011 eV/atom
total magnetization = 0.37 μB per atom
SG = Fm-3m, No. 225

Lattice parameters (Å, degrees): 4.6979 4.6979 4.6979 60.00 60.00 60.00
Fractional positions:
Pb  0.5000  0.5000  0.5000
S  0.0000  0.0000  0.0000
Ti  0.7500  0.7500  0.7500
Ti  0.2500  0.2500  0.2500

---

Zn2CdNi3: relaxed, PBE-GGA.

total DFT energy (no corrections) = -3.609 eV/atom
total magnetization = 0.00 μB per atom
SG = P4/mmm, No. 123

Lattice parameters (Å, degrees): 2.8477 2.8477 9.7367 90.00 90.00 90.00
Fractional positions:
Cd  0.5000  0.5000  0.5000
Zn  0.5000  0.5000  0.1547
Ni  0.0000  0.0000  0.6946
Ni  0.0000  0.0000  0.3054
Ni  0.0000  0.0000  0.0000
Zn  0.5000  0.5000  0.8453

---

NaAgSb2: relaxed, PBE-GGA.

ΔE_f (raw) = 11 meV/atom
total DFT energy (no corrections) = -3.093 eV/atom
total magnetization = 0.00 μB per atom
SG = Fm-3m, No. 225

Lattice parameters (Å, degrees): 5.1640 5.1640 5.1640 60.00 60.00 60.00
Fractional positions:
Sb  0.7500  0.7500  0.7500
Na  0.0000  0.0000  0.0000
Ag  0.5000  0.5000  0.5000
Sb  0.2500  0.2500  0.2500

---

Dy5IrRh4: relaxed, PBE-GGA.

total DFT energy (no corrections) = -6.986 eV/atom
total magnetization = 0.00 μB per atom
SG = P4/mmm, No. 123

Lattice parameters (Å, degrees): 3.3840 3.3840 17.5594 90.00 90.00 90.00
Fractional positions:
Rh  0.0000  0.0000  0.2012
Dy  0.5000  0.5000  0.0992
Ir  0.0000  0.0000  0.0000
Rh  0.0000  0.0000  0.4002
Dy  0.5000  0.5000  0.6998
Dy  0.5000  0.5000  0.5000
Dy  0.5000  0.5000  0.9008
Rh  0.0000  0.0000  0.7988
Dy  0.5000  0.5000  0.3002
Rh  0.0000  0.0000  0.5998

---

SiMo2P: relaxed, PBE-GGA.

ΔE_f (raw) = -226 meV/atom
total DFT energy (no corrections) = -8.349 eV/atom
total magnetization = 0.00 μB per atom
SG = P2/m, No. 10

Lattice parameters (Å, degrees): 3.0102 3.0166 6.8543 63.67 90.00 90.00
Fractional positions:
Si  0.5000  0.7500  0.7500
Mo  0.0000  0.5097  0.4897
Mo  0.0000  0.9903  0.0103
P  0.5000  0.2500  0.2500

---

Ac2TiAs4Pd3: relaxed, PBE-GGA.

total DFT energy (no corrections) = -5.953 eV/atom
total magnetization = 0.12 μB per atom
SG = P-4m2, No. 115

Lattice parameters (Å, degrees): 4.4949 4.4949 10.4817 90.00 90.00 90.00
Fractional positions:
Pd  0.0000  0.0000  0.5000
Pd  0.0000  0.5000  0.1213
Ac  0.0000  0.5000  0.7664
As  0.0000  0.0000  0.0000
Ac  0.5000  0.0000  0.2336
As  0.5000  0.0000  0.6320
As  0.0000  0.5000  0.3680
As  0.5000  0.5000  0.0000
Ti  0.5000  0.5000  0.5000
Pd  0.5000  0.0000  0.8787

---

MnAlTc2Pt: relaxed, PBE-GGA.

total DFT energy (no corrections) = -6.513 eV/atom
total magnetization = 0.08 μB per atom
SG = P4/mmm, No. 123

Lattice parameters (Å, degrees): 4.4294 4.3691 4.4294 90.00 90.00 90.00
Fractional positions:
Tc  0.5000  0.0000  0.0000
Mn  0.5000  0.5000  0.5000
Tc  0.0000  0.0000  0.5000
Pt  0.0000  0.5000  0.0000
Al  0.0000  0.0000  0.0000

---

Li5Ge3Cl12: relaxed, PBE-GGA.

ΔE_f (raw) = -1127 meV/atom
total DFT energy (no corrections) = -3.406 eV/atom
total magnetization = 0.00 μB per atom
SG = Ia-3d, No. 230

Lattice parameters (Å, degrees): 13.0990 13.0990 13.0990 109.47 109.47 109.47
Fractional positions:
Li  0.1250  0.3750  0.2500
Cl  0.9110  0.8207  0.5379
Cl  0.4096  0.2827  0.3207
Cl  0.5904  0.7173  0.6793
Cl  0.0904  0.1793  0.2173
Cl  0.1269  0.7173  0.5379
Li  0.0000  0.5000  0.5000
Ge  0.1250  0.8750  0.7500
Ge  0.3750  0.7500  0.6250
Li  0.5000  0.0000  0.0000
Cl  0.6269  0.5890  0.9096
Li  0.0000  0.0000  0.5000
Cl  0.4110  0.0379  0.3207
Cl  0.9621  0.5890  0.1793
Cl  0.4096  0.1269  0.5890
Cl  0.6793  0.2173  0.5904
Cl  0.4621  0.7827  0.8731
Cl  0.9110  0.0904  0.8731
Li  0.8750  0.6250  0.7500
Ge  0.3750  0.6250  0.2500
Cl  0.2827  0.8731  0.9621
Cl  0.7827  0.3207  0.9096
Li  0.5000  0.0000  0.5000
Cl  0.6793  0.4621  0.5890
Li  0.7500  0.6250  0.3750
Li  0.6250  0.8750  0.2500
Ge  0.6250  0.3750  0.7500
Cl  0.5904  0.8731  0.4110
Cl  0.5379  0.3207  0.9110
Ge  0.6250  0.2500  0.3750
Cl  0.1269  0.4096  0.0890
Ge  0.2500  0.1250  0.3750
Cl  0.4110  0.3731  0.5904
Li  0.3750  0.2500  0.1250
Cl  0.7827  0.4621  0.3731
Cl  0.9621  0.3731  0.2827
Cl  0.7173  0.5904  0.1793
Li  0.2500  0.3750  0.6250
Li  0.8750  0.2500  0.6250
Ge  0.7500  0.3750  0.1250
Li  0.6250  0.7500  0.8750
Cl  0.5890  0.6269  0.4096
Cl  0.6269  0.0379  0.2173
Cl  0.9096  0.8207  0.7827
Cl  0.2173  0.5379  0.6269
Li  0.0000  0.0000  0.0000
Cl  0.2827  0.4096  0.8207
Cl  0.3207  0.7827  0.4096
Cl  0.1793  0.0890  0.9621
Cl  0.3731  0.9621  0.7827
Cl  0.5890  0.9621  0.6793
Cl  0.0379  0.4110  0.8207
Ge  0.7500  0.8750  0.6250
Li  0.0000  0.5000  0.0000
Ge  0.1250  0.2500  0.8750
Cl  0.0890  0.9096  0.1269
Cl  0.3731  0.4110  0.0904
Cl  0.7173  0.1269  0.0379
Li  0.5000  0.5000  0.0000
Cl  0.4621  0.6793  0.0890
Cl  0.0890  0.1793  0.4621
Cl  0.9096  0.0890  0.6269
Cl  0.0379  0.6269  0.7173
Cl  0.8731  0.5904  0.9110
Cl  0.1793  0.0904  0.7173
Cl  0.8731  0.2827  0.4621
Cl  0.8207  0.9110  0.0379
Cl  0.8207  0.9096  0.2827
Li  0.3750  0.1250  0.7500
Ge  0.8750  0.7500  0.1250
Cl  0.2173  0.6793  0.0904
Li  0.2500  0.8750  0.1250
Li  0.5000  0.5000  0.5000
Li  0.1250  0.7500  0.3750
Li  0.7500  0.1250  0.8750
Cl  0.5379  0.2173  0.1269
Ge  0.8750  0.1250  0.2500
Ge  0.2500  0.6250  0.8750
Cl  0.0904  0.9110  0.3731
Cl  0.3207  0.5379  0.4110

---

PmAg2Ge: relaxed, PBE-GGA.

total DFT energy (no corrections) = -4.008 eV/atom
total magnetization = 0.00 μB per atom
SG = Fm-3m, No. 225

Lattice parameters (Å, degrees): 4.9354 4.9354 4.9354 60.00 60.00 60.00
Fractional positions:
Pm  0.0000  0.0000  0.0000
Ge  0.5000  0.5000  0.5000
Ag  0.2500  0.2500  0.2500
Ag  0.7500  0.7500  0.7500